[1]
# LaTh4Ga4

Crystalline LaTh4Ga4 at its relaxed geometry (PBE, the Alexandria database).

Output
- space-group type = P4_2/n, No. 86
- magnetic moment (μB/f.u.) = 0.0
- formation enthalpy at 0 K (meV per atom) = -200
- final energy (eV for the cell shown) = -97.02

The structure in CIF format:
```
data_LaTh4Ga4
_chemical_formula_sum 'La2 Th8 Ga8'
_symmetry_space_group_name_H-M 'P 1'
_symmetry_Int_Tables_number 1
_cell_length_a 6.137
_cell_length_b 9.363
_cell_length_c 9.363
_cell_angle_alpha 90.00
_cell_angle_beta 90.00
_cell_angle_gamma 90.00
loop_
_symmetry_equiv_pos_as_xyz
'x,y,z'
loop_
_atom_site_label
_atom_site_fract_x
_atom_site_fract_y
_atom_site_fract_z
_atom_site_occupancy
La1 0.000 0.000 0.000 1
La2 0.500 0.500 0.500 1
Th1 0.363 0.330 0.904 1
Th2 0.863 0.596 0.830 1
Th3 0.363 0.670 0.096 1
Th4 0.137 0.170 0.596 1
Th5 0.637 0.904 0.670 1
Th6 0.137 0.830 0.404 1
Th7 0.863 0.404 0.170 1
Th8 0.637 0.096 0.330 1
Ga1 0.639 0.772 0.363 1
Ga2 0.639 0.228 0.637 1
Ga3 0.139 0.863 0.728 1
Ga4 0.861 0.272 0.863 1
Ga5 0.861 0.728 0.137 1
Ga6 0.361 0.363 0.228 1
Ga7 0.361 0.637 0.772 1
Ga8 0.139 0.137 0.272 1
```



[2]
# LaTh2Ga2

Crystalline LaTh2Ga2 at its relaxed geometry (PBE, the Alexandria database).

Output
- space-group type = C2/m, No. 12
- magnetic moment (μB/f.u.) = 0.0
- formation enthalpy at 0 K (meV per atom) = -314
- final energy (eV for the cell shown) = -27.39

The structure in CIF format:
```
data_LaTh2Ga2
_chemical_formula_sum 'La1 Th2 Ga2'
_symmetry_space_group_name_H-M 'P 1'
_symmetry_Int_Tables_number 1
_cell_length_a 3.999
_cell_length_b 6.099
_cell_length_c 6.321
_cell_angle_alpha 101.45
_cell_angle_beta 108.44
_cell_angle_gamma 90.00
loop_
_symmetry_equiv_pos_as_xyz
'x,y,z'
loop_
_atom_site_label
_atom_site_fract_x
_atom_site_fract_y
_atom_site_fract_z
_atom_site_occupancy
La1 0.000 0.000 0.000 1
Th1 0.360 0.436 0.719 1
Th2 0.640 0.564 0.281 1
Ga1 0.714 0.100 0.428 1
Ga2 0.286 0.900 0.572 1
```



[3]
# LaTh2Ga6

Crystalline LaTh2Ga6 at its relaxed geometry (PBE, the Alexandria database).

Output
- space-group type = Immm, No. 71
- magnetic moment (μB/f.u.) = 0.0
- formation enthalpy at 0 K (meV per atom) = -384
- final energy (eV for the cell shown) = -41.38
- E above lowest polymorph (meV/atom) = 281

The structure in CIF format:
```
data_LaTh2Ga6
_chemical_formula_sum 'La1 Th2 Ga6'
_symmetry_space_group_name_H-M 'P 1'
_symmetry_Int_Tables_number 1
_cell_length_a 4.393
_cell_length_b 8.166
_cell_length_c 8.166
_cell_angle_alpha 52.71
_cell_angle_beta 74.40
_cell_angle_gamma 74.40
loop_
_symmetry_equiv_pos_as_xyz
'x,y,z'
loop_
_atom_site_label
_atom_site_fract_x
_atom_site_fract_y
_atom_site_fract_z
_atom_site_occupancy
La1 0.000 0.000 0.000 1
Th1 0.862 0.638 0.638 1
Th2 0.138 0.362 0.362 1
Ga1 0.668 0.016 0.649 1
Ga2 0.332 0.984 0.351 1
Ga3 0.332 0.351 0.984 1
Ga4 0.500 0.677 0.323 1
Ga5 0.500 0.323 0.677 1
Ga6 0.668 0.649 0.016 1
```



[4]
# LaTh2Ga

Crystalline LaTh2Ga at its relaxed geometry (PBE, the Alexandria database).

Output
- space-group type = P4/mmm, No. 123
- magnetic moment (μB/f.u.) = 0.0
- formation enthalpy at 0 K (meV per atom) = -162
- final energy (eV for the cell shown) = -23.44
- E above lowest polymorph (meV/atom) = 0

The structure in CIF format:
```
data_LaTh2Ga
_chemical_formula_sum 'La1 Th2 Ga1'
_symmetry_space_group_name_H-M 'P 1'
_symmetry_Int_Tables_number 1
_cell_length_a 4.861
_cell_length_b 4.879
_cell_length_c 4.879
_cell_angle_alpha 90.00
_cell_angle_beta 90.00
_cell_angle_gamma 90.00
loop_
_symmetry_equiv_pos_as_xyz
'x,y,z'
loop_
_atom_site_label
_atom_site_fract_x
_atom_site_fract_y
_atom_site_fract_z
_atom_site_occupancy
Ga1 0.500 0.000 0.000 1
Th1 0.000 0.000 0.500 1
Th2 0.000 0.500 0.000 1
La1 0.500 0.500 0.500 1
```